{
  "formula": "Tb6Pt2O",
  "functional": "GGA-PBE",
  "state": "relaxed",
  "lattice_angstrom": [[6.4500, 0.0000, 0.0000], [0.0000, 7.0564, 0.0000], [-6.1912, 0.0000, 9.6108]],
  "species": ["Tb", "Tb", "Tb", "Tb", "Tb", "Tb", "Tb", "Tb", "Tb", "Tb", "Tb", "Tb", "Pt", "Pt", "Pt", "Pt", "O", "O"],
  "fractional_positions": [[0.1209, 0.0285, 0.2435], [0.1209, 0.4715, 0.7435], [0.2349, 0.6864, 0.0598], [0.2349, 0.8136, 0.5598], [0.3716, 0.1792, 0.0581], [0.3716, 0.3208, 0.5581], [0.6284, 0.6792, 0.4419], [0.6284, 0.8208, 0.9419], [0.7651, 0.1864, 0.4402], [0.7651, 0.3136, 0.9402], [0.8791, 0.5285, 0.2565], [0.8791, 0.9715, 0.7565], [0.3042, 0.1032, 0.7544], [0.3042, 0.3968, 0.2544], [0.6958, 0.6032, 0.7456], [0.6958, 0.8968, 0.2456], [0.0000, 0.0000, 0.0000], [0.0000, 0.5000, 0.5000]],
  "vol_a3_per_fu": 218.7,
  "sg": "P2_1/c",
  "formation_energy_uncorrected_mev_per_atom": -1261,
  "mass_density_kg_m3": 10323
}